Crystalline Pu3Ru2Pb at its relaxed geometry, computed with GGA-PBE.

a = 3.2907 Å, b = 3.2907 Å, c = 12.3025 Å
α = 90.00°, β = 90.00°, γ = 90.00°
With the nearest neighbours (Å) after each atom.
Fractional coordinates of all 6 atoms:
Pu1 0.0000 0.0000 0.0000  8 Ru 2.91
Pu2 0.0000 0.0000 0.2868  4 Ru 2.93
Pu3 0.0000 0.0000 0.7132  4 Ru 2.93
Ru1 0.5000 0.5000 0.1416  8 Pu 2.91-2.93
Ru2 0.5000 0.5000 0.8584  8 Pu 2.91-2.93
Pb1 0.5000 0.5000 0.5000  4 Pb 3.29, 8 Pu 3.51

## Properties
For the formation energy, the calculation gives -175 meV per atom. The value obtained for the offset from the most stable computed form is 0 meV per atom. For the density of states at the Fermi level, the calculation gives 2.852 states/eV/atom. The space group is P4/mmm (123).